[1]
{
  "formula": "LiIn2Ir",
  "functional": "PBE-GGA",
  "state": "relaxed",
  "sg": "No. 12",
  "de_polymorph_ev_per_atom": 0.214,
  "formation_energy_kj_per_mol_atoms": -9,
  "lattice": [[4.435, -1.577, 0.000], [4.435, 1.577, 0.000], [-0.942, 0.000, 5.349]],
  "species": ["Li", "In", "In", "Ir"],
  "fractional_positions": [[0.000, 0.000, 0.000], [0.241, 0.241, 0.738], [0.759, 0.759, 0.262], [0.500, 0.500, 0.500]]
}

***

[2]
{
  "formula": "Li4InIr",
  "functional": "PBE-GGA",
  "state": "relaxed",
  "sg": "No. 11",
  "de_polymorph_ev_per_atom": 0.000,
  "formation_energy_kj_per_mol_atoms": -20,
  "lattice": [[5.434, 0.000, 0.000], [0.000, 4.389, 0.000], [-2.691, 0.000, 7.646]],
  "species": ["Li", "Li", "Li", "Li", "Li", "Li", "Li", "Li", "In", "In", "Ir", "Ir"],
  "fractional_positions": [[0.029, 0.250, 0.084], [0.173, 0.250, 0.416], [0.257, 0.750, 0.584], [0.445, 0.750, 0.916], [0.555, 0.250, 0.084], [0.743, 0.250, 0.416], [0.827, 0.750, 0.584], [0.971, 0.750, 0.916], [0.379, 0.750, 0.258], [0.621, 0.250, 0.742], [0.127, 0.250, 0.754], [0.873, 0.750, 0.246]]
}

***

[3]
{
  "formula": "LiMg2In2Ir2",
  "functional": "PBE-GGA",
  "state": "relaxed",
  "sg": "No. 12",
  "formation_energy_kj_per_mol_atoms": -11,
  "lattice": [[4.844, -2.231, 0.000], [4.844, 2.231, 0.000], [-4.342, 0.000, 6.171]],
  "species": ["Li", "Mg", "Mg", "In", "In", "Ir", "Ir"],
  "fractional_positions": [[0.000, 0.000, 0.000], [0.323, 0.323, 0.145], [0.677, 0.677, 0.855], [0.322, 0.322, 0.685], [0.678, 0.678, 0.315], [0.012, 0.012, 0.678], [0.988, 0.988, 0.322]]
}

***

[4]
{
  "formula": "LiInMoIr",
  "functional": "PBE-GGA",
  "state": "relaxed",
  "sg": "No. 216",
  "formation_energy_kj_per_mol_atoms": -7,
  "lattice": [[0.000, 3.153, 3.153], [3.153, 0.000, 3.153], [3.153, 3.153, 0.000]],
  "species": ["Li", "In", "Mo", "Ir"],
  "fractional_positions": [[0.000, 0.000, 0.000], [0.750, 0.750, 0.750], [0.250, 0.250, 0.250], [0.500, 0.500, 0.500]]
}

***

[5]
{
  "formula": "Li2InIrN",
  "functional": "PBE-GGA",
  "state": "relaxed",
  "raw_formation_energy_mev_per_atom": -320,
  "sg": "No. 123",
  "lattice": [[4.348, 0.000, 0.000], [0.000, 4.348, 0.000], [0.000, 0.000, 3.769]],
  "species": ["Li", "Li", "In", "Ir", "N"],
  "fractional_positions": [[0.000, 0.500, 0.000], [0.500, 0.000, 0.000], [0.000, 0.000, 0.500], [0.500, 0.500, 0.500], [0.500, 0.500, 0.000]]
}

***

[6]
{
  "formula": "NaLiInIr",
  "functional": "PBE-GGA",
  "state": "relaxed",
  "sg": "No. 216",
  "formation_energy_kj_per_mol_atoms": -4,
  "lattice": [[0.000, 3.278, 3.278], [3.278, 0.000, 3.278], [3.278, 3.278, 0.000]],
  "species": ["Na", "Li", "In", "Ir"],
  "fractional_positions": [[0.000, 0.000, 0.000], [0.750, 0.750, 0.750], [0.250, 0.250, 0.250], [0.500, 0.500, 0.500]]
}

***

[7]
{
  "formula": "LiNdInIr",
  "functional": "PBE-GGA",
  "state": "relaxed",
  "sg": "No. 216",
  "formation_energy_kj_per_mol_atoms": -42,
  "lattice": [[0.000, 3.434, 3.434], [3.434, 0.000, 3.434], [3.434, 3.434, 0.000]],
  "species": ["Li", "Nd", "In", "Ir"],
  "fractional_positions": [[0.000, 0.000, 0.000], [0.750, 0.750, 0.750], [0.250, 0.250, 0.250], [0.500, 0.500, 0.500]]
}

***

[8]
{
  "formula": "LiIn2NiIr",
  "functional": "PBE-GGA",
  "state": "relaxed",
  "sg": "No. 123",
  "de_polymorph_ev_per_atom": 0.000,
  "formation_energy_kj_per_mol_atoms": 28,
  "lattice": [[5.119, 0.000, 0.000], [0.000, 5.119, 0.000], [0.000, 0.000, 4.774]],
  "species": ["Li", "In", "In", "Ni", "Ir"],
  "fractional_positions": [[0.000, 0.000, 0.000], [0.000, 0.500, 0.500], [0.500, 0.000, 0.500], [0.500, 0.500, 0.000], [0.500, 0.500, 0.500]]
}

***

[9]
{
  "formula": "LiInNi2Ir",
  "functional": "PBE-GGA",
  "state": "relaxed",
  "sg": "No. 123",
  "formation_energy_kj_per_mol_atoms": 65,
  "lattice": [[4.594, 0.000, 0.000], [0.000, 4.594, 0.000], [0.000, 0.000, 4.537]],
  "species": ["Li", "In", "Ni", "Ni", "Ir"],
  "fractional_positions": [[0.000, 0.000, 0.000], [0.500, 0.500, 0.000], [0.000, 0.500, 0.500], [0.500, 0.000, 0.500], [0.000, 0.000, 0.500]]
}

***

[10]
{
  "formula": "LiIn2NiIr",
  "functional": "PBE-GGA",
  "state": "relaxed",
  "sg": "No. 123",
  "de_polymorph_ev_per_atom": 0.193,
  "formation_energy_kj_per_mol_atoms": 47,
  "lattice": [[4.768, 0.000, 0.000], [0.000, 4.768, 0.000], [0.000, 0.000, 4.105]],
  "species": ["Li", "In", "In", "Ni", "Ir"],
  "fractional_positions": [[0.000, 0.000, 0.000], [0.000, 0.500, 0.500], [0.500, 0.000, 0.500], [0.000, 0.000, 0.500], [0.500, 0.500, 0.000]]
}

***

[11]
{
  "formula": "LiNpInIr",
  "functional": "PBE-GGA",
  "state": "relaxed",
  "sg": "No. 216",
  "formation_energy_kj_per_mol_atoms": -13,
  "lattice": [[0.000, 3.368, 3.368], [3.368, 0.000, 3.368], [3.368, 3.368, 0.000]],
  "species": ["Li", "Np", "In", "Ir"],
  "fractional_positions": [[0.000, 0.000, 0.000], [0.250, 0.250, 0.250], [0.750, 0.750, 0.750], [0.500, 0.500, 0.500]]
}

***

[12]
{
  "formula": "Li2InIrO6",
  "functional": "PBE-GGA",
  "state": "relaxed",
  "raw_formation_energy_mev_per_atom": -1193,
  "sg": "No. 14",
  "lattice": [[5.259, 0.000, 0.000], [0.000, 5.359, 0.000], [-5.183, 0.000, 7.668]],
  "species": ["Li", "Li", "Li", "Li", "In", "In", "Ir", "Ir", "O", "O", "O", "O", "O", "O", "O", "O", "O", "O", "O", "O"],
  "fractional_positions": [[0.226, 0.035, 0.244], [0.226, 0.465, 0.744], [0.774, 0.535, 0.256], [0.774, 0.965, 0.756], [0.000, 0.000, 0.500], [0.000, 0.500, 0.000], [0.500, 0.000, 0.000], [0.500, 0.500, 0.500], [0.145, 0.076, 0.767], [0.145, 0.424, 0.267], [0.242, 0.650, 0.560], [0.242, 0.850, 0.060], [0.436, 0.186, 0.574], [0.436, 0.314, 0.074], [0.564, 0.686, 0.926], [0.564, 0.814, 0.426], [0.758, 0.150, 0.940], [0.758, 0.350, 0.440], [0.855, 0.576, 0.733], [0.855, 0.924, 0.233]]
}

***

[13]
{
  "formula": "LiIn2IrO8",
  "functional": "PBE-GGA",
  "state": "relaxed",
  "raw_formation_energy_mev_per_atom": -914,
  "sg": "No. 10",
  "lattice": [[4.296, 0.000, 0.000], [0.000, 6.499, 0.000], [-0.088, 0.000, 5.066]],
  "species": ["Li", "In", "In", "Ir", "O", "O", "O", "O", "O", "O", "O", "O"],
  "fractional_positions": [[0.000, 0.000, 0.000], [0.500, 0.255, 0.500], [0.500, 0.745, 0.500], [0.000, 0.500, 0.000], [0.142, 0.000, 0.588], [0.227, 0.500, 0.673], [0.254, 0.277, 0.130], [0.254, 0.723, 0.130], [0.746, 0.277, 0.870], [0.746, 0.723, 0.870], [0.773, 0.500, 0.327], [0.858, 0.000, 0.412]]
}

***

[14]
{
  "formula": "LiPaInIr",
  "functional": "PBE-GGA",
  "state": "relaxed",
  "sg": "No. 216",
  "formation_energy_kj_per_mol_atoms": -39,
  "lattice": [[0.000, 3.370, 3.370], [3.370, 0.000, 3.370], [3.370, 3.370, 0.000]],
  "species": ["Li", "Pa", "In", "Ir"],
  "fractional_positions": [[0.000, 0.000, 0.000], [0.250, 0.250, 0.250], [0.750, 0.750, 0.750], [0.500, 0.500, 0.500]]
}

***

[15]
{
  "formula": "LiPrIn4Ir2",
  "functional": "PBE-GGA",
  "state": "relaxed",
  "sg": "No. 166",
  "formation_energy_kj_per_mol_atoms": -30,
  "lattice": [[2.301, 1.329, 9.047], [-2.301, 1.329, 9.047], [0.000, -2.657, 9.047]],
  "species": ["Li", "Pr", "In", "In", "In", "In", "Ir", "Ir"],
  "fractional_positions": [[0.000, 0.000, 0.000], [0.500, 0.500, 0.500], [0.101, 0.101, 0.101], [0.368, 0.368, 0.368], [0.632, 0.632, 0.632], [0.899, 0.899, 0.899], [0.264, 0.264, 0.264], [0.736, 0.736, 0.736]]
}

***

[16]
{
  "formula": "LiPrInIr",
  "functional": "PBE-GGA",
  "state": "relaxed",
  "sg": "No. 216",
  "formation_energy_kj_per_mol_atoms": -40,
  "lattice": [[0.000, 3.449, 3.449], [3.449, 0.000, 3.449], [3.449, 3.449, 0.000]],
  "species": ["Li", "Pr", "In", "Ir"],
  "fractional_positions": [[0.000, 0.000, 0.000], [0.250, 0.250, 0.250], [0.750, 0.750, 0.750], [0.500, 0.500, 0.500]]
}

***

[17]
{
  "formula": "LiPuInIr",
  "functional": "PBE-GGA",
  "state": "relaxed",
  "sg": "No. 216",
  "formation_energy_kj_per_mol_atoms": -5,
  "lattice": [[0.000, 3.428, 3.428], [3.428, 0.000, 3.428], [3.428, 3.428, 0.000]],
  "species": ["Li", "Pu", "In", "Ir"],
  "fractional_positions": [[0.000, 0.000, 0.000], [0.500, 0.500, 0.500], [0.750, 0.750, 0.750], [0.250, 0.250, 0.250]]
}

***

[18]
{
  "formula": "LiIn4IrRh2",
  "functional": "PBE-GGA",
  "state": "relaxed",
  "sg": "No. 166",
  "formation_energy_kj_per_mol_atoms": -32,
  "lattice": [[2.296, 1.325, 7.508], [-2.296, 1.325, 7.508], [0.000, -2.651, 7.508]],
  "species": ["Li", "In", "In", "In", "In", "Ir", "Rh", "Rh"],
  "fractional_positions": [[0.000, 0.000, 0.000], [0.126, 0.126, 0.126], [0.375, 0.375, 0.375], [0.625, 0.625, 0.625], [0.874, 0.874, 0.874], [0.500, 0.500, 0.500], [0.251, 0.251, 0.251], [0.749, 0.749, 0.749]]
}

***

[19]
{
  "formula": "LiInIrS2",
  "functional": "PBE-GGA",
  "state": "relaxed",
  "raw_formation_energy_mev_per_atom": 172,
  "sg": "No. 123",
  "lattice": [[4.839, 0.000, 0.000], [0.000, 4.839, 0.000], [0.000, 0.000, 5.074]],
  "species": ["Li", "In", "Ir", "S", "S"],
  "fractional_positions": [[0.000, 0.000, 0.000], [0.500, 0.500, 0.000], [0.500, 0.500, 0.500], [0.000, 0.500, 0.500], [0.500, 0.000, 0.500]]
}

***

[20]
{
  "formula": "LiSmIn4Ir2",
  "functional": "PBE-GGA",
  "state": "relaxed",
  "sg": "No. 166",
  "formation_energy_kj_per_mol_atoms": -30,
  "lattice": [[2.381, 1.375, 7.930], [-2.381, 1.375, 7.930], [0.000, -2.750, 7.930]],
  "species": ["Li", "Sm", "In", "In", "In", "In", "Ir", "Ir"],
  "fractional_positions": [[0.000, 0.000, 0.000], [0.500, 0.500, 0.500], [0.113, 0.113, 0.113], [0.368, 0.368, 0.368], [0.632, 0.632, 0.632], [0.887, 0.887, 0.887], [0.248, 0.248, 0.248], [0.752, 0.752, 0.752]]
}

***

[21]
{
  "formula": "SrLiIn4Ir2",
  "functional": "PBE-GGA",
  "state": "relaxed",
  "sg": "No. 166",
  "formation_energy_kj_per_mol_atoms": -28,
  "lattice": [[2.291, 1.323, 9.719], [-2.291, 1.323, 9.719], [0.000, -2.645, 9.719]],
  "species": ["Sr", "Li", "In", "In", "In", "In", "Ir", "Ir"],
  "fractional_positions": [[0.000, 0.000, 0.000], [0.500, 0.500, 0.500], [0.133, 0.133, 0.133], [0.404, 0.404, 0.404], [0.596, 0.596, 0.596], [0.867, 0.867, 0.867], [0.230, 0.230, 0.230], [0.770, 0.770, 0.770]]
}

***

[22]
{
  "formula": "SrLiInIr",
  "functional": "PBE-GGA",
  "state": "relaxed",
  "sg": "No. 216",
  "formation_energy_kj_per_mol_atoms": -16,
  "lattice": [[0.000, 3.487, 3.487], [3.487, 0.000, 3.487], [3.487, 3.487, 0.000]],
  "species": ["Sr", "Li", "In", "Ir"],
  "fractional_positions": [[0.000, 0.000, 0.000], [0.250, 0.250, 0.250], [0.500, 0.500, 0.500], [0.750, 0.750, 0.750]]
}

***

[23]
{
  "formula": "SrLiIn3Ir",
  "functional": "PBE-GGA",
  "state": "relaxed",
  "sg": "No. 63",
  "formation_energy_kj_per_mol_atoms": -15,
  "lattice": [[3.252, -5.771, 0.000], [3.252, 5.771, 0.000], [0.000, 0.000, 8.414]],
  "species": ["Sr", "Sr", "Li", "Li", "In", "In", "In", "In", "In", "In", "Ir", "Ir"],
  "fractional_positions": [[0.224, 0.776, 0.750], [0.776, 0.224, 0.250], [0.500, 0.500, 0.250], [0.500, 0.500, 0.750], [0.246, 0.246, 0.000], [0.246, 0.246, 0.500], [0.272, 0.728, 0.250], [0.728, 0.272, 0.750], [0.754, 0.754, 0.000], [0.754, 0.754, 0.500], [0.049, 0.951, 0.250], [0.951, 0.049, 0.750]]
}

***

[24]
{
  "formula": "SrLiIn2Ir",
  "functional": "PBE-GGA",
  "state": "relaxed",
  "sg": "No. 123",
  "formation_energy_kj_per_mol_atoms": -22,
  "lattice": [[5.163, 0.000, 0.000], [0.000, 5.163, 0.000], [0.000, 0.000, 4.998]],
  "species": ["Sr", "Li", "In", "In", "Ir"],
  "fractional_positions": [[0.000, 0.000, 0.000], [0.500, 0.500, 0.000], [0.000, 0.500, 0.500], [0.500, 0.000, 0.500], [0.500, 0.500, 0.500]]
}

***

[25]
{
  "formula": "Sr2LiInIr",
  "functional": "PBE-GGA",
  "state": "relaxed",
  "sg": "No. 123",
  "formation_energy_kj_per_mol_atoms": -14,
  "lattice": [[5.828, 0.000, 0.000], [0.000, 5.828, 0.000], [0.000, 0.000, 5.218]],
  "species": ["Sr", "Sr", "Li", "In", "Ir"],
  "fractional_positions": [[0.000, 0.500, 0.000], [0.500, 0.000, 0.000], [0.000, 0.000, 0.500], [0.500, 0.500, 0.500], [0.500, 0.500, 0.000]]
}

***

[26]
{
  "formula": "LiThInIr",
  "functional": "PBE-GGA",
  "state": "relaxed",
  "sg": "No. 216",
  "formation_energy_kj_per_mol_atoms": -49,
  "lattice": [[0.000, 3.442, 3.442], [3.442, 0.000, 3.442], [3.442, 3.442, 0.000]],
  "species": ["Li", "Th", "In", "Ir"],
  "fractional_positions": [[0.000, 0.000, 0.000], [0.750, 0.750, 0.750], [0.250, 0.250, 0.250], [0.500, 0.500, 0.500]]
}

***

[27]
{
  "formula": "Li2TiInIr",
  "functional": "PBE-GGA",
  "state": "relaxed",
  "sg": "No. 123",
  "formation_energy_kj_per_mol_atoms": 100,
  "lattice": [[4.539, 0.000, 0.000], [0.000, 4.539, 0.000], [0.000, 0.000, 5.352]],
  "species": ["Li", "Li", "Ti", "In", "Ir"],
  "fractional_positions": [[0.000, 0.500, 0.000], [0.500, 0.000, 0.000], [0.000, 0.000, 0.500], [0.000, 0.000, 0.000], [0.500, 0.500, 0.500]]
}

***

no.,energy (eV for the cell shown),V (Å³/atom)
1,-16.64,18.7
2,-40.97,15.2
3,-29.08,19.1
4,-24.64,15.7
5,-25.35,14.3
6,-14.99,17.6
7,-20.00,20.2
8,-20.56,25.0
9,-21.72,19.2
10,-19.59,18.7
11,-26.98,19.1
12,-114.22,10.8
13,-66.88,11.8
14,-24.64,19.1
15,-37.88,20.8
16,-19.93,20.5
17,-28.05,20.1
18,-39.09,17.1
19,-20.91,23.8
20,-37.80,19.5
21,-34.56,22.1
22,-15.85,21.2
23,-43.26,26.3
24,-19.10,26.6
25,-17.60,35.5
26,-22.95,20.4
27,-18.14,22.1